## BaScBe3 (GGA-PBE)

Data for BaScBe3 after structural relaxation.

Summary:
ΔH_f (0 K): 1046.2 meV per atom
total magnetization: 1.16 μB per cell

Lattice parameters (Å, degrees): 5.065 5.065 5.065 90.00 90.00 90.00
Each line ends with the local moment (μB).
Fractional positions:
Sc 0.000 0.000 0.000  0.23
Be 0.000 0.500 0.000  0.06
Be 0.000 0.000 0.500  0.05
Be 0.500 0.000 0.000  0.06
Ba 0.500 0.500 0.500  0.06

---

## Nb2AgOs (GGA-PBE)

Data for Nb2AgOs after structural relaxation.

Summary:
ΔH_f (0 K): 542.4 meV per atom
total magnetization: 0.00 μB per cell

Lattice parameters (Å, degrees): 7.371 7.371 5.907 51.40 51.40 90.00
Fractional positions:
Nb 0.661 0.125 0.250
Nb 0.089 0.625 0.250
Nb 0.375 0.339 0.750
Nb 0.875 0.911 0.750
Os 0.000 0.000 0.000
Os 0.750 0.250 0.500
Ag 0.500 0.500 0.000
Ag 0.250 0.750 0.500

---

## AcLa2Sm3Te6 (GGA-PBE)

Data for AcLa2Sm3Te6 after structural relaxation.

Summary:
E: -5.39 eV/atom
total magnetization: 0.00 μB per cell

Lattice parameters (Å, degrees): 4.523 9.119 10.142 103.06 102.88 90.00
Fractional positions:
Ac 0.500 0.000 0.000
La 0.832 0.666 0.664
La 0.168 0.334 0.336
Sm 0.500 0.500 0.000
Sm 0.835 0.170 0.670
Sm 0.165 0.830 0.330
Te 0.328 0.922 0.657
Te 0.664 0.587 0.328
Te 0.672 0.078 0.343
Te 0.999 0.262 0.998
Te 0.001 0.738 0.002
Te 0.336 0.413 0.672

---

Copy entry 3 word for word.
## AcLa2Sm3Te6 (GGA-PBE)

Data for AcLa2Sm3Te6 after structural relaxation.

Summary:
E: -5.39 eV/atom
total magnetization: 0.00 μB per cell

Lattice parameters (Å, degrees): 4.523 9.119 10.142 103.06 102.88 90.00
Fractional positions:
Ac 0.500 0.000 0.000
La 0.832 0.666 0.664
La 0.168 0.334 0.336
Sm 0.500 0.500 0.000
Sm 0.835 0.170 0.670
Sm 0.165 0.830 0.330
Te 0.328 0.922 0.657
Te 0.664 0.587 0.328
Te 0.672 0.078 0.343
Te 0.999 0.262 0.998
Te 0.001 0.738 0.002
Te 0.336 0.413 0.672

---

Repeat the third record exactly.
## AcLa2Sm3Te6 (GGA-PBE)

Data for AcLa2Sm3Te6 after structural relaxation.

Summary:
E: -5.39 eV/atom
total magnetization: 0.00 μB per cell

Lattice parameters (Å, degrees): 4.523 9.119 10.142 103.06 102.88 90.00
Fractional positions:
Ac 0.500 0.000 0.000
La 0.832 0.666 0.664
La 0.168 0.334 0.336
Sm 0.500 0.500 0.000
Sm 0.835 0.170 0.670
Sm 0.165 0.830 0.330
Te 0.328 0.922 0.657
Te 0.664 0.587 0.328
Te 0.672 0.078 0.343
Te 0.999 0.262 0.998
Te 0.001 0.738 0.002
Te 0.336 0.413 0.672